No. 1
DFT (PBE-GGA) results for a relaxed structure of TlOsBr2.

Its energy relative to the lowest polymorph listed for this composition is 0.7275 eV per atom. The value obtained for the volume is 25.95 Å³/atom. As for the total moment: 2.91 μB per formula unit. The energy relative to the elements, uncorrected is 4.02 eV/f.u. The total energy comes out at -3.23 eV/atom.

It has space group C2/m (No. 12), with a = 7.7004 Å, b = 8.5160 Å, c = 3.3795 Å, α = 90.00°, β = 110.48° and γ = 90.00°. Symmetry generates all atoms from Tl at (0.0000, 0.0000, 0.0000), Os at (0.0000, 0.5000, 0.0000) and Br at (0.2500, 0.2500, 0.5000).

=====

No. 2
DFT (PBE-GGA) results for a relaxed structure of La2ZrCl.

Its energy relative to the lowest polymorph listed for this composition is 0.4372 eV per atom. The value obtained for the volume is 30.58 Å³/atom. As for the total moment: 0.00 μB per formula unit. The energy relative to the elements, uncorrected is -0.57 eV/f.u. The total energy comes out at -5.20 eV/atom.

It has space group Immm (No. 71), with a = 3.4577 Å, b = 6.5700 Å, c = 10.7689 Å, α = 90.00°, β = 90.00° and γ = 90.00°. Symmetry generates all atoms from La at (0.0000, 0.0000, 0.2249), Zr at (0.0000, 0.5000, 0.0000) and Cl at (0.0000, 0.5000, 0.5000).

=====

No. 3
DFT (PBE-GGA) results for a relaxed structure of Pr5TmCd6.

The energy of formation comes out at -0.311 eV per atom. The value obtained for the volume is 28.63 Å³/atom. As for the total moment: 1.84 μB per formula unit. The total energy comes out at -3.13 eV/atom.

It has space group Cmmm (No. 65), with a = 5.4273 Å, b = 16.3513 Å, c = 7.7425 Å, α = 90.00°, β = 90.00° and γ = 90.00°. Symmetry generates all atoms from Pr at (0.0000, 0.0000, 0.0000), Pr at (0.0000, 0.3300, 0.0000), Pr at (0.0000, 0.3345, 0.5000), Tm at (0.0000, 0.0000, 0.5000), Cd at (0.0000, 0.1615, 0.2573) and Cd at (0.0000, 0.5000, 0.2585).